Arrangement P

SiRuAu: relaxed, GGA-PBEsol.

Cell and atoms, written as POSCAR:
```
SiRuAu
1.0
2.878 0.000 0.000
-1.439 2.492 0.000
0.000 0.000 6.110
Si Ru Au
1 1 1
Direct
0.000 0.000 0.000
0.667 0.333 0.274
0.333 0.667 0.658
```


Arrangement Q

SiRuAu: relaxed, GGA-PBEsol.

Cell and atoms, written as POSCAR:
```
SiRuAu
1.0
0.000 2.391 6.184
1.514 0.000 6.184
1.514 2.391 0.000
Si Ru Au
1 1 1
Direct
0.000 0.000 0.000
0.637 0.637 0.363
0.330 0.330 0.670
```


Quick look at relative energies in eV/atom: arrangement P 0.000; arrangement Q 0.186.


Arrangement P

TcRuAu2: relaxed, GGA-PBEsol.

Cell and atoms, written as POSCAR:
```
TcRuAu2
1.0
2.671 -4.139 0.000
2.671 4.139 0.000
0.000 0.000 2.735
Tc Ru Au
1 1 2
Direct
0.000 0.000 0.000
0.500 0.500 0.000
0.000 0.500 0.500
0.500 0.000 0.500
```


Arrangement Q

TcRuAu2: relaxed, GGA-PBEsol.

Cell and atoms, written as POSCAR:
```
TcRuAu2
1.0
2.803 0.000 0.000
0.000 3.805 0.000
0.000 0.000 5.696
Tc Ru Au
1 1 2
Direct
0.000 0.000 0.000
0.500 0.500 0.800
0.000 0.000 0.529
0.500 0.500 0.269
```


Quick look at relative energies in eV/atom: arrangement P 0.240; arrangement Q 0.000.


Arrangement P

TcRu2Au: relaxed, GGA-PBEsol.

Cell and atoms, written as POSCAR:
```
TcRu2Au
1.0
-1.932 1.932 3.803
1.932 -1.932 3.803
1.932 1.932 -3.803
Tc Ru Au
1 2 1
Direct
0.000 0.000 0.000
0.250 0.750 0.500
0.750 0.250 0.500
0.500 0.500 0.000
```


Arrangement Q

TcRu2Au: relaxed, GGA-PBEsol.

Cell and atoms, written as POSCAR:
```
TcRu2Au
1.0
2.732 -4.542 0.000
2.732 4.542 0.000
-1.261 0.000 2.340
Tc Ru Au
1 2 1
Direct
0.000 0.000 0.000
0.000 0.500 0.500
0.500 0.000 0.500
0.500 0.500 0.000
```


Quick look at relative energies in eV/atom: arrangement P 0.000; arrangement Q 0.276.


Arrangement P

Te2RuAu: relaxed, GGA-PBEsol.

Cell and atoms, written as POSCAR:
```
Te2RuAu
1.0
3.898 0.000 0.000
0.000 3.907 0.000
-0.020 0.000 5.560
Te Ru Au
2 1 1
Direct
0.000 0.000 0.000
0.500 0.500 0.500
0.000 0.000 0.500
0.500 0.500 0.000
```


Arrangement Q

Te2RuAu: relaxed, GGA-PBEsol.

Cell and atoms, written as POSCAR:
```
Te2RuAu
1.0
4.788 0.000 0.000
0.000 4.788 0.000
0.000 0.000 3.409
Te Ru Au
2 1 1
Direct
0.000 0.500 0.000
0.500 0.000 0.000
0.000 0.000 0.500
0.500 0.500 0.500
```


Arrangement R

Te2RuAu: relaxed, GGA-PBEsol.

Cell and atoms, written as POSCAR:
```
Te2RuAu
1.0
1.863 1.076 7.114
-1.863 1.076 7.114
0.000 -2.151 7.114
Te Ru Au
2 1 1
Direct
0.239 0.239 0.239
0.761 0.761 0.761
0.500 0.500 0.500
0.000 0.000 0.000
```


Quick look at relative energies in eV/atom: arrangement P 0.168; arrangement Q 0.341; arrangement R 0.000.


Arrangement P

RuWAu2: relaxed, GGA-PBEsol.

Cell and atoms, written as POSCAR:
```
RuWAu2
1.0
2.846 0.000 0.000
0.000 3.834 0.000
0.000 0.000 5.714
Ru W Au
1 1 2
Direct
0.000 0.000 0.000
0.500 0.500 0.207
0.000 0.000 0.475
0.500 0.500 0.731
```


Arrangement Q

RuWAu2: relaxed, GGA-PBEsol.

Cell and atoms, written as POSCAR:
```
RuWAu2
1.0
4.672 0.000 0.000
0.000 4.672 0.000
0.000 0.000 2.872
Ru W Au
1 1 2
Direct
0.000 0.000 0.000
0.500 0.500 0.000
0.000 0.500 0.500
0.500 0.000 0.500
```


Quick look at relative energies in eV/atom: arrangement P 0.000; arrangement Q 0.396.


Arrangement P

ZnRuAu: relaxed, GGA-PBEsol.

Cell and atoms, written as POSCAR:
```
ZnRuAu
1.0
-1.369 1.369 5.841
1.369 -1.369 5.841
1.369 1.369 -5.841
Zn Ru Au
1 1 1
Direct
0.000 0.000 0.000
0.653 0.653 0.000
0.329 0.329 0.000
```


Arrangement Q

ZnRuAu: relaxed, GGA-PBEsol.

Cell and atoms, written as POSCAR:
```
ZnRuAu
1.0
0.000 2.899 2.899
2.899 0.000 2.899
2.899 2.899 0.000
Zn Ru Au
1 1 1
Direct
0.000 0.000 0.000
0.250 0.250 0.250
0.750 0.750 0.750
```


Quick look at relative energies in eV/atom: arrangement P 0.000; arrangement Q 0.383.


Arrangement P

ZrRu2Au: relaxed, GGA-PBEsol.

Cell and atoms, written as POSCAR:
```
ZrRu2Au
1.0
1.493 0.862 8.523
-1.493 0.862 8.523
0.000 -1.724 8.523
Zr Ru Au
1 2 1
Direct
0.000 0.000 0.000
0.254 0.254 0.254
0.746 0.746 0.746
0.500 0.500 0.500
```


Arrangement Q

ZrRu2Au: relaxed, GGA-PBEsol.

Cell and atoms, written as POSCAR:
```
ZrRu2Au
1.0
-2.023 2.023 3.856
2.023 -2.023 3.856
2.023 2.023 -3.856
Zr Ru Au
1 2 1
Direct
0.000 0.000 0.000
0.250 0.750 0.500
0.750 0.250 0.500
0.500 0.500 0.000
```


Arrangement R

ZrRu2Au: relaxed, GGA-PBEsol.

Cell and atoms, written as POSCAR:
```
ZrRu2Au
1.0
4.018 0.000 0.000
0.000 4.018 0.000
0.000 0.000 3.850
Zr Ru Au
1 2 1
Direct
0.000 0.000 0.000
0.000 0.500 0.500
0.500 0.000 0.500
0.500 0.500 0.000
```


Quick look at relative energies in eV/atom: arrangement P 0.546; arrangement Q 0.206; arrangement R 0.000.


Arrangement P

Sb3Au: relaxed, GGA-PBEsol.

Cell and atoms, written as POSCAR:
```
Sb3Au
1.0
5.215 0.000 0.000
0.000 5.215 0.000
0.000 0.000 3.460
Sb Au
3 1
Direct
0.000 0.000 0.000
0.000 0.500 0.500
0.500 0.000 0.500
0.500 0.500 0.000
```


Arrangement Q

Sb3Au: relaxed, GGA-PBEsol.

Cell and atoms, written as POSCAR:
```
Sb3Au
1.0
2.935 -4.157 0.000
2.935 4.157 0.000
0.000 0.000 4.126
Sb Au
3 1
Direct
0.000 0.000 0.000
0.275 0.725 0.500
0.725 0.275 0.500
0.500 0.500 0.000
```


Arrangement R

Sb3Au: relaxed, GGA-PBEsol.

Cell and atoms, written as POSCAR:
```
Sb3Au
1.0
-1.965 2.177 5.819
1.965 -2.177 5.819
1.965 2.177 -5.819
Sb Au
3 1
Direct
0.000 0.000 0.000
0.309 0.809 0.500
0.691 0.191 0.500
0.500 0.500 0.000
```


Quick look at relative energies in eV/atom: arrangement P 0.239; arrangement Q 0.000; arrangement R 0.121.


Arrangement P

SiSbAu2: relaxed, GGA-PBEsol.

Cell and atoms, written as POSCAR:
```
SiSbAu2
1.0
3.116 0.000 0.000
0.000 4.009 0.000
0.000 0.000 6.158
Si Sb Au
1 1 2
Direct
0.000 0.000 0.000
0.500 0.500 0.658
0.000 0.000 0.409
0.500 0.500 0.135
```


Arrangement Q

SiSbAu2: relaxed, GGA-PBEsol.

Cell and atoms, written as POSCAR:
```
SiSbAu2
1.0
1.878 1.084 6.492
-1.878 1.084 6.492
0.000 -2.168 6.492
Si Sb Au
1 1 2
Direct
0.000 0.000 0.000
0.235 0.235 0.235
0.481 0.481 0.481
0.727 0.727 0.727
```


Quick look at relative energies in eV/atom: arrangement P 0.144; arrangement Q 0.000.


Arrangement P

Tl2SbAu: relaxed, GGA-PBEsol.

Cell and atoms, written as POSCAR:
```
Tl2SbAu
1.0
-1.874 2.120 6.711
1.874 -2.120 6.711
1.874 2.120 -6.711
Tl Sb Au
2 1 1
Direct
0.186 0.186 0.000
0.814 0.814 0.000
0.500 0.000 0.500
0.000 0.500 0.500
```


Arrangement Q

Tl2SbAu: relaxed, GGA-PBEsol.

Cell and atoms, written as POSCAR:
```
Tl2SbAu
1.0
-1.759 2.609 5.545
1.759 -2.609 5.545
1.759 2.609 -5.545
Tl Sb Au
2 1 1
Direct
0.000 0.000 0.000
0.701 0.201 0.500
0.285 0.785 0.500
0.480 0.480 0.000
```


Quick look at relative energies in eV/atom: arrangement P 0.000; arrangement Q 0.029.


Arrangement P

Tl2SbAu: relaxed, GGA-PBEsol.

Cell and atoms, written as POSCAR:
```
Tl2SbAu
1.0
0.000 3.677 3.677
3.677 0.000 3.677
3.677 3.677 0.000
Tl Sb Au
2 1 1
Direct
0.250 0.250 0.250
0.750 0.750 0.750
0.000 0.000 0.000
0.500 0.500 0.500
```


Arrangement Q

Tl2SbAu: relaxed, GGA-PBEsol.

Cell and atoms, written as POSCAR:
```
Tl2SbAu
1.0
2.261 1.305 6.289
-2.261 1.305 6.289
0.000 -2.611 6.289
Tl Sb Au
2 1 1
Direct
0.000 0.000 0.000
0.223 0.223 0.223
0.770 0.770 0.770
0.473 0.473 0.473
```


Quick look at relative energies in eV/atom: arrangement P 0.182; arrangement Q 0.000.


Arrangement P

Tl2SbAu: relaxed, GGA-PBEsol.

Cell and atoms, written as POSCAR:
```
Tl2SbAu
1.0
3.455 0.000 0.000
0.000 3.455 0.000
0.000 0.000 8.402
Tl Sb Au
2 1 1
Direct
0.000 0.000 0.000
0.500 0.500 0.299
0.500 0.500 0.715
0.000 0.000 0.524
```


Arrangement Q

Tl2SbAu: relaxed, GGA-PBEsol.

Cell and atoms, written as POSCAR:
```
Tl2SbAu
1.0
3.266 0.000 0.000
0.000 4.315 0.000
-1.609 0.000 7.264
Tl Sb Au
2 1 1
Direct
0.000 0.000 0.000
0.349 0.500 0.706
0.708 0.000 0.426
0.596 0.500 0.194
```


Quick look at relative energies in eV/atom: arrangement P 0.017; arrangement Q 0.000.